Computed, not measured: CdFeIr2 at its PBEsol-relaxed geometry at the SCAN level of DFT.

The structure belongs to space group F-43m (No. 216); the cell edges are 6.1778, 6.1778 and 6.1778 Å and the angles 90.00°, 90.00° and 90.00°. Symmetry generates all atoms from Cd at (0.0000, 0.0000, 0.0000), Fe at (0.2500, 0.2500, 0.7500), Ir at (0.0000, 0.0000, 0.5000) and Ir at (0.2500, 0.2500, 0.2500).

For the energy, the calculation gives -47.342 eV per atom.



Computed, not measured: In3GeMo at its PBEsol-relaxed geometry at the SCAN level of DFT.

The structure belongs to space group Pm-3m (No. 221); the cell edges are 5.1840, 5.1840 and 5.1840 Å and the angles 90.00°, 90.00° and 90.00°. Symmetry generates all atoms from In at (0.0000, 0.0000, 0.5000), Ge at (0.5000, 0.5000, 0.5000) and Mo at (0.0000, 0.0000, 0.0000).

For the energy, the calculation gives -29.980 eV per atom.



Computed, not measured: Te2MoP at its PBEsol-relaxed geometry at the SCAN level of DFT.

The structure belongs to space group P4/mmm (No. 123); the cell edges are 3.3271, 3.3271 and 6.9173 Å and the angles 90.00°, 90.00° and 90.00°. Symmetry generates all atoms from Te at (0.0000, 0.0000, 0.2353), Mo at (0.5000, 0.5000, 0.0000) and P at (0.5000, 0.5000, 0.5000).

The calculation puts the uncorrected formation energy at 477 meV/atom.



Computed, not measured: LiSbPb2 at its PBEsol-relaxed geometry at the SCAN level of DFT.

The structure belongs to space group Cm (No. 8); the cell edges are 10.5786, 3.4339 and 5.9555 Å and the angles 90.00°, 101.75° and 90.00°. Symmetry generates all atoms from Li at (0.0000, 0.0000, 0.0000), Sb at (0.2327, 0.5000, 0.1974), Pb at (0.2502, 0.0000, 0.7475) and Pb at (0.4949, 0.0000, 0.4731).

The calculation puts the uncorrected formation energy at -124 meV/atom.